VASP calculation (PBE-GGA) on a relaxed HPtRh2 crystal.

```
data_HPtRh2
_symmetry_space_group_name_H-M 'P 4/m m m'
_symmetry_Int_Tables_number 123
_symmetry_space_group_name_Hall '-P 4 2'
_cell_length_a 2.7086
_cell_length_b 2.7086
_cell_length_c 6.5294
_cell_angle_alpha 90.00
_cell_angle_beta 90.00
_cell_angle_gamma 90.00
loop_
_atom_site_label
_atom_site_fract_x
_atom_site_fract_y
_atom_site_fract_z
H1 0.0000 0.0000 0.0000
Pt1 0.0000 0.0000 0.5000
Rh1 0.5000 0.5000 0.1932
```

## Properties
ΔE to the lowest computed polymorph in meV per atom: 221



VASP calculation (PBE-GGA) on a relaxed Tb2PaRuO8 crystal.

```
data_Tb2PaRuO8
_symmetry_space_group_name_H-M 'C m m m'
_symmetry_Int_Tables_number 65
_symmetry_space_group_name_Hall '-C 2 2'
_cell_length_a 7.0456
_cell_length_b 7.2292
_cell_length_c 6.7858
_cell_angle_alpha 90.00
_cell_angle_beta 90.00
_cell_angle_gamma 90.00
loop_
_atom_site_label
_atom_site_fract_x
_atom_site_fract_y
_atom_site_fract_z
Tb1 0.0000 0.0000 0.2401
Pa1 0.0000 0.5000 0.5000
Ru1 0.0000 0.5000 0.0000
O1 0.0000 0.3202 0.2304
O2 0.2005 0.0000 0.5000
O3 0.2234 0.0000 0.0000
```

## Properties
E_form (uncorrected) in eV/atom: -2.743



VASP calculation (PBE-GGA) on a relaxed PmGaAu11 crystal.

```
data_PmGaAu11
_symmetry_space_group_name_H-M 'C 1 2/m 1'
_symmetry_Int_Tables_number 12
_cell_length_a 5.5059
_cell_length_b 13.5424
_cell_length_c 7.1409
_cell_angle_alpha 90.00
_cell_angle_beta 108.30
_cell_angle_gamma 90.00
loop_
_symmetry_equiv_pos_as_xyz
'x,y,z'
'-x,-y,-z'
'-x,y,-z'
'x,-y,z'
'x+1/2,y+1/2,z'
'-x+1/2,-y+1/2,-z'
'-x+1/2,y+1/2,-z'
'x+1/2,-y+1/2,z'
loop_
_atom_site_label
_atom_site_fract_x
_atom_site_fract_y
_atom_site_fract_z
Pm1 0.0000 0.0000 0.0000
Ga1 0.0000 0.5000 0.5000
Au1 0.0000 0.0000 0.5000
Au2 0.0763 0.3957 0.2169
Au3 0.1463 0.1744 0.3484
Au4 0.2500 0.2500 0.0000
```

## Properties
Energy of formation from the pure elements in kJ per mole of atoms: -21.66



VASP calculation (PBE-GGA) on a relaxed Bi3Te2S8 crystal.

```
data_Bi3Te2S8
_symmetry_space_group_name_H-M 'C 1 2/m 1'
_symmetry_Int_Tables_number 12
_cell_length_a 13.2237
_cell_length_b 8.4220
_cell_length_c 7.0194
_cell_angle_alpha 90.00
_cell_angle_beta 91.00
_cell_angle_gamma 90.00
loop_
_symmetry_equiv_pos_as_xyz
'x,y,z'
'-x,-y,-z'
'-x,y,-z'
'x,-y,z'
'x+1/2,y+1/2,z'
'-x+1/2,-y+1/2,-z'
'-x+1/2,y+1/2,-z'
'x+1/2,-y+1/2,z'
loop_
_atom_site_label
_atom_site_fract_x
_atom_site_fract_y
_atom_site_fract_z
Bi1 0.0000 0.0000 0.0000
Bi2 0.0000 0.2252 0.5000
Te1 0.2306 0.5000 0.0858
S1 0.1153 0.0000 0.3437
S2 0.1257 0.5000 0.3514
S3 0.1384 0.2149 0.8300
```

## Properties
E_form (uncorrected) in eV/atom: -0.077



VASP calculation (PBE-GGA) on a relaxed V6W crystal.

```
data_V6W
_symmetry_space_group_name_H-M 'P 4/m m m'
_symmetry_Int_Tables_number 123
_symmetry_space_group_name_Hall '-P 4 2'
_cell_length_a 4.2356
_cell_length_b 4.2356
_cell_length_c 5.8949
_cell_angle_alpha 90.00
_cell_angle_beta 90.00
_cell_angle_gamma 90.00
loop_
_atom_site_label
_atom_site_fract_x
_atom_site_fract_y
_atom_site_fract_z
V1 0.0000 0.0000 0.0000
V2 0.0000 0.5000 0.2411
V3 0.5000 0.5000 0.5000
W1 0.0000 0.0000 0.5000
```

## Properties
Energy of formation from the pure elements in kJ per mole of atoms: 38.66



VASP calculation (PBE-GGA) on a relaxed Zr2BeSi crystal.

```
data_Zr2BeSi
_symmetry_space_group_name_H-M 'P 1 2/m 1'
_symmetry_Int_Tables_number 10
_cell_length_a 3.0163
_cell_length_b 3.7844
_cell_length_c 5.9386
_cell_angle_alpha 90.00
_cell_angle_beta 90.91
_cell_angle_gamma 90.00
loop_
_symmetry_equiv_pos_as_xyz
'x,y,z'
'-x,-y,-z'
'-x,y,-z'
'x,-y,z'
loop_
_atom_site_label
_atom_site_fract_x
_atom_site_fract_y
_atom_site_fract_z
Zr1 0.0018 0.0000 0.2457
Be1 0.5000 0.5000 0.0000
Si1 0.5000 0.5000 0.5000
```

## Properties
ΔE to the lowest computed polymorph in meV per atom: 351
E_form (uncorrected) in eV/atom: -0.297



VASP calculation (PBE-GGA) on a relaxed SnB crystal.

```
data_SnB
_symmetry_space_group_name_H-M 'P b c a'
_symmetry_Int_Tables_number 61
_cell_length_a 6.0169
_cell_length_b 7.0109
_cell_length_c 6.6309
_cell_angle_alpha 90.00
_cell_angle_beta 90.00
_cell_angle_gamma 90.00
loop_
_symmetry_equiv_pos_as_xyz
'x,y,z'
'-x,-y,-z'
'-x+1/2,-y,z+1/2'
'x+1/2,y,-z+1/2'
'x+1/2,-y+1/2,-z'
'-x+1/2,y+1/2,z'
'-x,y+1/2,-z+1/2'
'x,-y+1/2,z+1/2'
loop_
_atom_site_label
_atom_site_fract_x
_atom_site_fract_y
_atom_site_fract_z
Sn1 0.1519 0.1268 0.1095
B1 0.0828 0.0856 0.4503
```

## Properties
ΔE to the lowest computed polymorph in meV per atom: 140
Energy of formation from the pure elements in kJ per mole of atoms: 50.75



VASP calculation (PBE-GGA) on a relaxed ZnIn3Os crystal.

```
data_ZnIn3Os
_symmetry_space_group_name_H-M 'P m -3 m'
_symmetry_Int_Tables_number 221
_symmetry_space_group_name_Hall '-P 4 2 3'
_cell_length_a 5.2103
_cell_length_b 5.2103
_cell_length_c 5.2103
_cell_angle_alpha 90.00
_cell_angle_beta 90.00
_cell_angle_gamma 90.00
loop_
_atom_site_label
_atom_site_fract_x
_atom_site_fract_y
_atom_site_fract_z
Zn1 0.0000 0.0000 0.0000
In1 0.0000 0.5000 0.5000
Os1 0.5000 0.5000 0.5000
```

## Properties
ΔE to the lowest computed polymorph in meV per atom: 0
Energy of formation from the pure elements in kJ per mole of atoms: 30.35



Here are the calculated total magnetization numbers, same order: 0.00, 6.02, 0.00, 0.00, 0.00, 0.00, 0.00, 0.00 (Bohr magnetons per cell).